## Zr8IrRh5 (PBE)

Data for Zr8IrRh5 after structural relaxation.

POSCAR file:
```
Zr8IrRh5
1.0
6.7503 0.0000 -2.2244
-3.4138 5.7359 -2.4413
0.0773 0.0000 7.1069
Rh Zr Ir
5 8 1
direct
0.9491 0.3716 0.1112 Rh
0.4225 0.1621 0.0509 Rh
0.5000 0.0000 0.5000 Rh
0.7397 0.6284 0.5775 Rh
0.8888 0.8379 0.2603 Rh
0.6492 0.8791 0.9010 Zr
0.1580 0.7433 0.5240 Zr
0.2299 0.2518 0.3508 Zr
0.0990 0.7482 0.9780 Zr
0.0220 0.1209 0.7701 Zr
0.7807 0.2567 0.4146 Zr
0.5854 0.3661 0.8420 Zr
0.4760 0.6339 0.2193 Zr
0.2500 0.5000 0.7500 Ir
```

Results
VASP energy ... -121.81 eV per cell
Space-group type ... No. 82